No. 1
Computed, not measured: crystalline Li2YSiH at its relaxed geometry at the GGA-PBE level of DFT.

Calculated values
VASP energy = -21.345 eV for the cell shown
density of states at the Fermi level = 0.24 states/eV per atom

Geometry as CIF:
```
data_Li2YSiH
_space_group_name_H-M_alt 'P 4/m m m'
_space_group_IT_number 123
_space_group_name_Hall '-P 4 2'
_cell_length_a 4.0916
_cell_length_b 4.0916
_cell_length_c 4.6629
_cell_angle_alpha 90.00
_cell_angle_beta 90.00
_cell_angle_gamma 90.00
loop_
_atom_site_label
_atom_site_fract_x
_atom_site_fract_y
_atom_site_fract_z
Li1 0.0000 0.5000 0.0000
Y1 0.0000 0.0000 0.5000
Si1 0.5000 0.5000 0.5000
H1 0.0000 0.0000 0.0000
```

***

No. 2
Computed, not measured: crystalline LiZn2SiH at its relaxed geometry at the GGA-PBE level of DFT.

Calculated values
VASP energy = -11.086 eV for the cell shown
density of states at the Fermi level = 0.24 states/eV per atom

Geometry as CIF:
```
data_LiZn2SiH
_space_group_name_H-M_alt 'P 4/m m m'
_space_group_IT_number 123
_space_group_name_Hall '-P 4 2'
_cell_length_a 4.9516
_cell_length_b 4.9516
_cell_length_c 2.9174
_cell_angle_alpha 90.00
_cell_angle_beta 90.00
_cell_angle_gamma 90.00
loop_
_atom_site_label
_atom_site_fract_x
_atom_site_fract_y
_atom_site_fract_z
Li1 0.0000 0.0000 0.0000
Zn1 0.0000 0.5000 0.0000
Si1 0.5000 0.5000 0.5000
H1 0.0000 0.0000 0.5000
```

***

No. 3
Computed, not measured: crystalline Li2ZnSiH at its relaxed geometry at the GGA-PBE level of DFT.

Calculated values
VASP energy = -14.308 eV for the cell shown
density of states at the Fermi level = 0.38 states/eV per atom

Geometry as CIF:
```
data_Li2ZnSiH
_space_group_name_H-M_alt 'P 4/m m m'
_space_group_IT_number 123
_space_group_name_Hall '-P 4 2'
_cell_length_a 3.7972
_cell_length_b 3.7972
_cell_length_c 4.1197
_cell_angle_alpha 90.00
_cell_angle_beta 90.00
_cell_angle_gamma 90.00
loop_
_atom_site_label
_atom_site_fract_x
_atom_site_fract_y
_atom_site_fract_z
Li1 0.0000 0.5000 0.0000
Zn1 0.0000 0.0000 0.5000
Si1 0.5000 0.5000 0.5000
H1 0.0000 0.0000 0.0000
```

***

No. 4
Computed, not measured: crystalline LiSmH3 at its relaxed geometry at the GGA-PBE level of DFT.

Calculated values
VASP energy = -18.741 eV for the cell shown
density of states at the Fermi level = 0.35 states/eV per atom

Geometry as CIF:
```
data_LiSmH3
_space_group_name_H-M_alt 'P m -3 m'
_space_group_IT_number 221
_space_group_name_Hall '-P 4 2 3'
_cell_length_a 3.6435
_cell_length_b 3.6435
_cell_length_c 3.6435
_cell_angle_alpha 90.00
_cell_angle_beta 90.00
_cell_angle_gamma 90.00
loop_
_atom_site_label
_atom_site_fract_x
_atom_site_fract_y
_atom_site_fract_z
Li1 0.0000 0.0000 0.0000
Sm1 0.5000 0.5000 0.5000
H1 0.0000 0.0000 0.5000
```

***

No. 5
Computed, not measured: crystalline LiSm2H4 at its relaxed geometry at the GGA-PBE level of DFT.

Calculated values
VASP energy = -55.388 eV for the cell shown
density of states at the Fermi level = 0.40 states/eV per atom

Geometry as CIF:
```
data_LiSm2H4
_space_group_name_H-M_alt 'I 4/m m m'
_space_group_IT_number 139
_space_group_name_Hall '-I 4 2'
_cell_length_a 3.6342
_cell_length_b 3.6342
_cell_length_c 12.4388
_cell_angle_alpha 90.00
_cell_angle_beta 90.00
_cell_angle_gamma 90.00
loop_
_atom_site_label
_atom_site_fract_x
_atom_site_fract_y
_atom_site_fract_z
Li1 0.0000 0.0000 0.0000
Sm1 0.0000 0.0000 0.3477
H1 0.0000 0.0000 0.1606
H2 0.0000 0.5000 0.0000
```

***

No. 6
Computed, not measured: crystalline LiSmH4 at its relaxed geometry at the GGA-PBE level of DFT.

Calculated values
VASP energy = -44.188 eV for the cell shown
density of states at the Fermi level = 0.04 states/eV per atom

Geometry as CIF:
```
data_LiSmH4
_space_group_name_H-M_alt 'C 1 2/m 1'
_space_group_IT_number 12
_cell_length_a 5.2702
_cell_length_b 5.2702
_cell_length_c 5.0350
_cell_angle_alpha 90.00
_cell_angle_beta 90.09
_cell_angle_gamma 90.00
loop_
_space_group_symop_operation_xyz
'x,y,z'
'-x,-y,-z'
'-x,y,-z'
'x,-y,z'
'x+1/2,y+1/2,z'
'-x+1/2,-y+1/2,-z'
'-x+1/2,y+1/2,-z'
'x+1/2,-y+1/2,z'
loop_
_atom_site_label
_atom_site_fract_x
_atom_site_fract_y
_atom_site_fract_z
Li1 0.0000 0.0000 0.0000
Sm1 0.0000 0.5000 0.5000
H1 0.2497 0.2496 0.2432
```